(1)
Material: Sn2Ru2Rh
Method: DFT, PBE
State: relaxed

POSCAR file:
```
Sn2Ru2Rh
1.0
7.3561 0.0000 0.0000
0.0000 7.3561 0.0000
0.0000 0.0000 3.2012
Ru Rh Sn
4 2 4
direct
0.3710 0.8710 0.0000 Ru
0.8710 0.6290 0.0000 Ru
0.6290 0.1290 0.0000 Ru
0.1290 0.3710 0.0000 Ru
0.0000 0.0000 0.0000 Rh
0.5000 0.5000 0.0000 Rh
0.1717 0.6717 0.5000 Sn
0.6717 0.8283 0.5000 Sn
0.8283 0.3283 0.5000 Sn
0.3283 0.1717 0.5000 Sn
```

Properties
V: 173.2 Å³/cell
energy of formation from the pure elements: 0.116 eV per atom
total magnetization: 0.0 Bohr magnetons per cell
symmetry: P4/mbm (127)
energy: -6.666 eV/atom


(2)
Material: AlGaAg3
Method: DFT, PBE
State: relaxed

POSCAR file:
```
AlGaAg3
1.0
-1.0692 2.9219 2.9966
-6.0192 -3.4719 -1.8207
1.0089 -3.9661 4.2272
Al Ga Ag
2 2 6
direct
0.6831 0.8650 0.7500 Al
0.3169 0.1350 0.2500 Al
0.4879 0.4776 0.7500 Ga
0.5121 0.5224 0.2500 Ga
0.1108 0.7168 0.5005 Ag
0.8892 0.2832 0.4995 Ag
0.1108 0.7168 0.9995 Ag
0.8892 0.2832 0.0005 Ag
0.2924 0.0864 0.7500 Ag
0.7076 0.9136 0.2500 Ag
```

Properties
V: 174.4 Å³/cell
energy of formation from the pure elements: -0.001 eV per atom
offset from the most stable computed form: 0 meV per atom
total magnetization: 0.0 Bohr magnetons per cell
symmetry: P2_1/m (11)
energy: -3.066 eV/atom


(3)
Material: KCa2Mg
Method: DFT, PBE
State: relaxed

POSCAR file:
```
KCa2Mg
1.0
-3.2506 -5.4865 2.2469
-1.4967 -4.1963 -5.0860
5.7215 3.0572 1.9064
Ca K Mg
2 1 1
direct
0.0000 0.0000 0.0000 Ca
0.2500 0.7500 0.5000 Ca
0.5000 0.5000 0.0000 K
0.7500 0.2500 0.5000 Mg
```

Properties
V: 163.1 Å³/cell
energy of formation from the pure elements: 0.187 eV per atom
total magnetization: 0.0 Bohr magnetons per cell
symmetry: I-4m2 (119)
energy: -1.487 eV/atom


(4)
Material: OsAuBr2
Method: DFT, PBE
State: relaxed

POSCAR file:
```
OsAuBr2
1.0
3.1071 0.0000 0.0000
0.0000 3.1071 0.0000
0.0000 0.0000 8.8956
Os Au Br
1 1 2
direct
0.5000 0.5000 0.2500 Os
0.5000 0.5000 0.7500 Au
0.0000 0.0000 0.0689 Br
0.0000 0.0000 0.4311 Br
```

Properties
V: 85.9 Å³/cell
ΔE_f (raw): 1.116 eV/atom
offset from the most stable computed form: 687 meV per atom
total magnetization: 0.0 Bohr magnetons per cell
symmetry: P4/mmm (123)
energy: -3.347 eV/atom


(5)
Material: RbWSCl2
Method: DFT, PBE
State: relaxed

POSCAR file:
```
RbWSCl2
1.0
5.1428 0.0000 0.0000
0.0000 5.1428 0.0000
0.0000 0.0000 4.6361
S Rb W Cl
1 1 1 2
direct
0.0000 0.0000 0.5000 S
0.5000 0.5000 0.5000 Rb
0.0000 0.0000 0.0000 W
0.0000 0.5000 0.0000 Cl
0.5000 0.0000 0.0000 Cl
```

Properties
V: 122.6 Å³/cell
ΔE_f (raw): -0.675 eV/atom
offset from the most stable computed form: 0 meV per atom
total magnetization: 1.6 Bohr magnetons per cell
symmetry: P4/mmm (123)
energy: -5.024 eV/atom


(6)
Material: HoReB4
Method: DFT, PBE
State: relaxed

POSCAR file:
```
HoReB4
1.0
-0.8274 -2.4098 2.5583
-1.8757 -3.8061 -4.1918
10.6289 -4.4293 -0.7344
Ho Re B
4 4 16
direct
0.0000 0.6268 0.1497 Ho
0.0000 0.3732 0.8503 Ho
0.0000 0.1268 0.3503 Ho
0.0000 0.8732 0.6497 Ho
0.0000 0.6330 0.4122 Re
0.0000 0.3670 0.5878 Re
0.0000 0.1330 0.0878 Re
0.0000 0.8670 0.9122 Re
0.5000 0.9773 0.1925 B
0.5000 0.0227 0.8075 B
0.5000 0.4773 0.3075 B
0.5000 0.5227 0.6925 B
0.5000 0.7876 0.3151 B
0.5000 0.2124 0.6849 B
0.5000 0.2876 0.1849 B
0.5000 0.7124 0.8151 B
0.5000 0.8641 0.4687 B
0.5000 0.1359 0.5313 B
0.5000 0.3641 0.0313 B
0.5000 0.6359 0.9687 B
0.5000 0.8862 0.0475 B
0.5000 0.1138 0.9525 B
0.5000 0.3862 0.4525 B
0.5000 0.6138 0.5475 B
```

Properties
V: 248.5 Å³/cell
energy of formation from the pure elements: -0.595 eV per atom
offset from the most stable computed form: 0 meV per atom
total magnetization: 0.0 Bohr magnetons per cell
symmetry: Pbam (55)
energy: -7.885 eV/atom